Record 1
The following is a PBE calculation of a geometry-optimized K2RbCo2 structure, from Alexandria via LeMat-Bulk.

Values from the calculation:
DFT formation energy: 64.3 kJ/mol of atoms
uncorrected energy: -2.81 eV per atom
E above lowest polymorph: 0 kJ/mol of formula units

a b c (Å): 3.4961 3.4961 28.5918
angles (deg): 90.00 90.00 90.00
Space group I4/mmm (No. 139)
One atom of each set of equivalent atoms:
K: 0.0000 0.0000 0.1515 (multiplicity 4)
Rb: 0.0000 0.0000 0.5000 (multiplicity 2)
Co: 0.0000 0.5000 0.2500 (multiplicity 4)

***

Record 2
The following is a PBE calculation of a geometry-optimized Ce3Th2Si4 structure, from Alexandria via LeMat-Bulk.

Values from the calculation:
uncorrected energy: -6.66 eV per atom
uncorrected formation energy: -619 meV/atom

a b c (Å): 7.7758 7.7729 7.6303
angles (deg): 90.00 107.36 90.00
Space group P2_1/c (No. 14)
One atom of each set of equivalent atoms:
Ce: 0.0000 0.0000 0.0000 (multiplicity 2)
Ce: 0.2534 0.1884 0.7517 (multiplicity 4)
Th: 0.2973 0.6811 0.9151 (multiplicity 4)
Si: 0.0114 0.6155 0.1194 (multiplicity 4)
Si: 0.4220 0.0244 0.1225 (multiplicity 4)

***

Record 3
The following is a PBE calculation of a geometry-optimized Mn2CdCl structure, from Alexandria via LeMat-Bulk.

Values from the calculation:
uncorrected energy: -4.91 eV per atom
E above lowest polymorph: 139 kJ/mol of formula units
uncorrected formation energy: 365 meV/atom

a b c (Å): 7.1704 7.1704 6.0812
angles (deg): 90.00 90.00 90.00
Space group I-42d (No. 122)
One atom of each set of equivalent atoms:
Mn: 0.2179 0.2500 0.1250 (multiplicity 8)
Cd: 0.0000 0.0000 0.5000 (multiplicity 4)
Cl: 0.0000 0.0000 0.0000 (multiplicity 4)

***

Record 4
The following is a PBE calculation of a geometry-optimized YGaPt2 structure, from Alexandria via LeMat-Bulk.

Values from the calculation:
DFT formation energy: -102.3 kJ/mol of atoms
uncorrected energy: -6.45 eV per atom

a b c (Å): 7.3493 7.1716 5.6353
angles (deg): 90.00 90.00 90.00
Space group Pnma (No. 62)
One atom of each set of equivalent atoms:
Y: 0.0267 0.2500 0.1422 (multiplicity 4)
Ga: 0.1155 0.7500 0.3601 (multiplicity 4)
Pt: 0.1860 0.0513 0.5859 (multiplicity 8)

***

Record 5
The following is a PBE calculation of a geometry-optimized Ag2AuCl structure, from Alexandria via LeMat-Bulk.

Values from the calculation:
uncorrected energy: -2.73 eV per atom
E above lowest polymorph: 41 kJ/mol of formula units
uncorrected formation energy: -23 meV/atom

a b c (Å): 3.5453 3.5453 6.4518
angles (deg): 90.00 90.00 90.00
Space group P4mm (No. 99)
One atom of each set of equivalent atoms:
Ag: 0.0000 0.0000 0.0000 (multiplicity 1)
Ag: 0.5000 0.5000 0.2479 (multiplicity 1)
Au: 0.0000 0.0000 0.4399 (multiplicity 1)
Cl: 0.5000 0.5000 0.7919 (multiplicity 1)

***

Record 6
The following is a PBE calculation of a geometry-optimized CaYTl structure, from Alexandria via LeMat-Bulk.

Values from the calculation:
DFT formation energy: -16.0 kJ/mol of atoms
uncorrected energy: -3.78 eV per atom
E above lowest polymorph: 53 kJ/mol of formula units

a b c (Å): 7.4454 7.4454 7.4454
angles (deg): 90.00 90.00 90.00
Space group F-43m (No. 216)
One atom of each set of equivalent atoms:
Ca: 0.0000 0.0000 0.0000 (multiplicity 4)
Y: 0.0000 0.0000 0.5000 (multiplicity 4)
Tl: 0.2500 0.2500 0.7500 (multiplicity 4)